Ba12Cd3N5: relaxed, PBE.

abc: 15.7846 15.7846 15.7846
angles: 109.47 109.47 109.47
Fractional coordinates of all 80 atoms:
Ba: 0.0102 0.1939 0.1128
Ba: 0.0102 0.3163 0.8974
Ba: 0.0811 0.6939 0.6837
Ba: 0.0811 0.8872 0.3974
Ba: 0.1026 0.6128 0.4189
Ba: 0.1026 0.9898 0.6837
Ba: 0.1128 0.0102 0.1939
Ba: 0.1128 0.6026 0.9189
Ba: 0.1837 0.1939 0.5811
Ba: 0.1837 0.4898 0.6026
Ba: 0.1939 0.1128 0.0102
Ba: 0.1939 0.5811 0.1837
Ba: 0.3061 0.3163 0.9189
Ba: 0.3061 0.4898 0.3872
Ba: 0.3163 0.8974 0.0102
Ba: 0.3163 0.9189 0.3061
Ba: 0.3872 0.3061 0.4898
Ba: 0.3872 0.5811 0.8974
Ba: 0.3974 0.0811 0.8872
Ba: 0.3974 0.8163 0.5102
Ba: 0.4189 0.1026 0.6128
Ba: 0.4189 0.8163 0.8061
Ba: 0.4898 0.3872 0.3061
Ba: 0.4898 0.6026 0.1837
Ba: 0.5102 0.3974 0.8163
Ba: 0.5102 0.6128 0.6939
Ba: 0.5811 0.1837 0.1939
Ba: 0.5811 0.8974 0.3872
Ba: 0.6026 0.1837 0.4898
Ba: 0.6026 0.9189 0.1128
Ba: 0.6128 0.4189 0.1026
Ba: 0.6128 0.6939 0.5102
Ba: 0.6837 0.0811 0.6939
Ba: 0.6837 0.1026 0.9898
Ba: 0.6939 0.5102 0.6128
Ba: 0.6939 0.6837 0.0811
Ba: 0.8061 0.4189 0.8163
Ba: 0.8061 0.8872 0.9898
Ba: 0.8163 0.5102 0.3974
Ba: 0.8163 0.8061 0.4189
Ba: 0.8872 0.3974 0.0811
Ba: 0.8872 0.9898 0.8061
Ba: 0.8974 0.0102 0.3163
Ba: 0.8974 0.3872 0.5811
Ba: 0.9189 0.1128 0.6026
Ba: 0.9189 0.3061 0.3163
Ba: 0.9898 0.6837 0.1026
Ba: 0.9898 0.8061 0.8872
Cd: 0.1250 0.2500 0.3750
Cd: 0.1250 0.3750 0.7500
Cd: 0.2500 0.3750 0.1250
Cd: 0.2500 0.8750 0.6250
Cd: 0.3750 0.1250 0.2500
Cd: 0.3750 0.7500 0.1250
Cd: 0.6250 0.2500 0.8750
Cd: 0.6250 0.8750 0.7500
Cd: 0.7500 0.1250 0.3750
Cd: 0.7500 0.6250 0.8750
Cd: 0.8750 0.6250 0.2500
Cd: 0.8750 0.7500 0.6250
N: 0.0000 0.0000 0.0000
N: 0.0000 0.0000 0.5000
N: 0.0000 0.5000 0.0000
N: 0.0000 0.5000 0.5000
N: 0.1250 0.7500 0.8750
N: 0.1250 0.8750 0.2500
N: 0.2500 0.1250 0.8750
N: 0.2500 0.6250 0.3750
N: 0.3750 0.2500 0.6250
N: 0.3750 0.6250 0.7500
N: 0.5000 0.0000 0.0000
N: 0.5000 0.0000 0.5000
N: 0.5000 0.5000 0.0000
N: 0.5000 0.5000 0.5000
N: 0.6250 0.3750 0.2500
N: 0.6250 0.7500 0.3750
N: 0.7500 0.3750 0.6250
N: 0.7500 0.8750 0.1250
N: 0.8750 0.1250 0.7500
N: 0.8750 0.2500 0.1250

Values from the calculation:
The value obtained for the total energy is -3.592 eV/atom.